FeRhO, relaxed, DFT PBE with a Hubbard U; N(E_F) = 7.47 states/eV per cell; M_tot = 0.63 μB/f.u.; mass density = 8.02 Mg/m³; raw total energy = -73.49 eV for the cell shown
1.0
17.386 0.000 0.000
0.000 2.888 0.000
0.000 0.000 2.883
Fe Rh O
4 4 4
direct
0.176 0.250 0.249
0.324 0.750 0.749
0.676 0.250 0.251
0.824 0.750 0.751
0.049 0.750 0.751
0.451 0.250 0.251
0.549 0.750 0.749
0.951 0.250 0.249
0.187 0.750 0.750
0.313 0.250 0.250
0.687 0.750 0.750
0.813 0.250 0.250